Entry 1:
Below is an optimized crystal structure of YSc2PtW, with properties calculated at the PBE-GGA level.

Density of states at the Fermi level ... 1.317 states/eV per atom
SG ... P4/mmm, No. 123
E_tot ... -7.09 eV/atom
Spin magnetization ... 0.00 Bohr magnetons per cell
Energy of formation from the pure elements ... 0.536 eV/atom

Cell: 4.9552 5.2776 4.9552 Å, 90.00 90.00 90.00°
Closest atoms and distances in Å follow each position.
Fractional positions:
Y: 0.0000 0.5000 0.0000  2 Pt 2.64
Sc: 0.0000 0.0000 0.5000  2 Pt 2.48
Sc: 0.5000 0.0000 0.0000  2 Pt 2.48
W: 0.5000 0.5000 0.5000  4 Y 3.50, 8 Sc 3.62
Pt: 0.0000 0.0000 0.0000  4 Sc 2.48, 2 Y 2.64

---

Entry 2:
Below is an optimized crystal structure of Y3ScPt, with properties calculated at the PBE-GGA level.

Density of states at the Fermi level ... 2.283 states/eV per atom
SG ... Pm-3m, No. 221
E_tot ... -6.58 eV/atom
E above lowest polymorph ... 0 meV per atom
Spin magnetization ... 0.43 Bohr magnetons per cell
Energy of formation from the pure elements ... -0.228 eV/atom

Cell: 5.4515 5.4515 5.4515 Å, 90.00 90.00 90.00°
Closest atoms and distances in Å follow each position.
Fractional positions:
Y: 0.0000 0.5000 0.0000  2 Pt 2.73
Y: 0.0000 0.0000 0.5000  2 Pt 2.73
Y: 0.5000 0.0000 0.0000  2 Pt 2.73
Sc: 0.5000 0.5000 0.5000  12 Y 3.85
Pt: 0.0000 0.0000 0.0000  6 Y 2.73

---

Entry 3:
Below is an optimized crystal structure of Y5ScPt6, with properties calculated at the PBE-GGA level.

Density of states at the Fermi level ... 0.554 states/eV per atom
SG ... C2/m, No. 12
E_tot ... -7.44 eV/atom
Spin magnetization ... 0.00 Bohr magnetons per cell
Energy of formation from the pure elements ... -1.197 eV/atom

Cell: 4.9327 6.8318 8.5446 Å, 66.43 73.34 90.00°
Closest atoms and distances in Å follow each position.
Fractional positions:
Y: 0.6669 0.1672 0.6657  8 Pt 2.96-3.16
Y: 0.3339 0.3334 0.3332  8 Pt 3.04-3.09
Y: 0.0000 0.5000 0.0000  8 Pt 2.94-3.05
Y: 0.6661 0.6666 0.6668  8 Pt 3.04-3.09
Y: 0.3331 0.8328 0.3343  8 Pt 2.96-3.16
Sc: 0.0000 0.0000 0.0000  8 Pt 2.86-2.96
Pt: 0.8432 0.6027 0.3148  1 Sc 2.86, 7 Y 2.94-3.16
Pt: 0.8432 0.0823 0.3149  1 Sc 2.86, 7 Y 2.94-3.16
Pt: 0.5000 0.7616 0.0000  2 Sc 2.96, 6 Y 2.97-3.06, 1 Pt 3.26
Pt: 0.5000 0.2384 0.0000  2 Sc 2.96, 6 Y 2.97-3.06, 1 Pt 3.26
Pt: 0.1568 0.9177 0.6851  1 Sc 2.86, 7 Y 2.94-3.16
Pt: 0.1568 0.3973 0.6852  1 Sc 2.86, 7 Y 2.94-3.16

---

Entry 4:
Below is an optimized crystal structure of YSc2Pt3, with properties calculated at the PBE-GGA level.

Density of states at the Fermi level ... 0.582 states/eV per atom
SG ... P4/mmm, No. 123
E_tot ... -7.43 eV/atom
Spin magnetization ... 0.00 Bohr magnetons per cell
Energy of formation from the pure elements ... -1.223 eV/atom

Cell: 3.3233 3.3233 10.3527 Å, 90.00 90.00 90.00°
Closest atoms and distances in Å follow each position.
Fractional positions:
Y: 0.5000 0.5000 0.5000  8 Pt 3.07, 4 Y 3.32
Sc: 0.5000 0.5000 0.8398  8 Pt 2.81-2.88
Sc: 0.5000 0.5000 0.1602  8 Pt 2.81-2.88
Pt: 0.0000 0.0000 0.0000  8 Sc 2.88, 2 Pt 3.20
Pt: 0.0000 0.0000 0.6905  4 Sc 2.81, 4 Y 3.07
Pt: 0.0000 0.0000 0.3095  4 Sc 2.81, 4 Y 3.07

---

Entry 5:
Below is an optimized crystal structure of Y2Sc2Pt, with properties calculated at the PBE-GGA level.

Density of states at the Fermi level ... 1.545 states/eV per atom
SG ... P4/mbm, No. 127
E_tot ... -6.71 eV/atom
E above lowest polymorph ... 0 meV per atom
Spin magnetization ... 0.00 Bohr magnetons per cell
Energy of formation from the pure elements ... -0.387 eV/atom

Cell: 6.9366 6.9366 5.2719 Å, 90.00 90.00 90.00°
Closest atoms and distances in Å follow each position.
Fractional positions:
Y: 0.1672 0.6672 0.5000  6 Sc 3.18-3.44, 1 Y 3.28
Y: 0.6672 0.8328 0.5000  6 Sc 3.18-3.44, 1 Y 3.28
Y: 0.8328 0.3328 0.5000  6 Sc 3.18-3.44, 1 Y 3.28
Y: 0.3328 0.1672 0.5000  6 Sc 3.18-3.44, 1 Y 3.28
Sc: 0.3486 0.8486 0.0000  2 Pt 2.64
Sc: 0.8486 0.6514 0.0000  2 Pt 2.64
Sc: 0.6514 0.1514 0.0000  2 Pt 2.64
Sc: 0.1514 0.3486 0.0000  2 Pt 2.64
Pt: 0.0000 0.0000 0.0000  4 Sc 2.64
Pt: 0.5000 0.5000 0.0000  4 Sc 2.64

---

Entry 6:
Below is an optimized crystal structure of YScPt2, with properties calculated at the PBE-GGA level.

Density of states at the Fermi level ... 0.926 states/eV per atom
SG ... R3m, No. 160
E_tot ... -7.22 eV/atom
E above lowest polymorph ... 212 meV per atom
Spin magnetization ... 0.00 Bohr magnetons per cell
Energy of formation from the pure elements ... -1.001 eV/atom

Cell: 7.0092 7.0092 7.0092 Å, 32.65 32.65 32.65°
Closest atoms and distances in Å follow each position.
Fractional positions:
Pt: 0.9932 0.9932 0.9932  3 Sc 2.76, 3 Y 2.93
Pt: 0.1735 0.1735 0.1735  3 Sc 2.71, 3 Y 2.87
Sc: 0.5809 0.5809 0.5809  6 Pt 2.71-2.76
Y: 0.7523 0.7523 0.7523  6 Pt 2.87-2.93

---

Entry 7:
Below is an optimized crystal structure of YScPt2, with properties calculated at the PBE-GGA level.

Density of states at the Fermi level ... 0.578 states/eV per atom
SG ... P4mm, No. 99
E_tot ... -7.25 eV/atom
E above lowest polymorph ... 178 meV per atom
Spin magnetization ... 0.00 Bohr magnetons per cell
Energy of formation from the pure elements ... -1.035 eV/atom

Cell: 3.8554 3.8517 5.7954 Å, 90.00 90.00 90.00°
Closest atoms and distances in Å follow each position.
Fractional positions:
Pt: 0.0000 0.0000 0.9398  2 Sc 2.80-2.99, 4 Y 2.82
Pt: 0.5000 0.5000 0.3233  4 Sc 2.79, 2 Y 2.84-2.95
Sc: 0.0000 0.0000 0.4231  6 Pt 2.79-2.99
Y: 0.5000 0.5000 0.8138  6 Pt 2.82-2.95

---

Entry 8:
Below is an optimized crystal structure of Y2Sc2Pt, with properties calculated at the PBE-GGA level.

Density of states at the Fermi level ... 0.810 states/eV per atom
SG ... I4/mmm, No. 139
E_tot ... -6.41 eV/atom
E above lowest polymorph ... 307 meV per atom
Spin magnetization ... 0.00 Bohr magnetons per cell
Energy of formation from the pure elements ... -0.081 eV/atom

Cell: 3.7776 3.7776 9.5509 Å, 78.59 78.59 90.00°
Closest atoms and distances in Å follow each position.
Fractional positions:
Y: 0.4143 0.4143 0.1715  4 Pt 3.10, 1 Y 3.14
Y: 0.5857 0.5857 0.8285  4 Pt 3.10, 1 Y 3.14
Sc: 0.7500 0.2500 0.5000  4 Sc 2.67
Sc: 0.2500 0.7500 0.5000  4 Sc 2.67
Pt: 0.0000 0.0000 0.0000  8 Y 3.10

---

Entry 9:
Below is an optimized crystal structure of YScPt2, with properties calculated at the PBE-GGA level.

Density of states at the Fermi level ... 0.874 states/eV per atom
SG ... I-4m2, No. 119
E_tot ... -7.23 eV/atom
E above lowest polymorph ... 207 meV per atom
Spin magnetization ... 0.00 Bohr magnetons per cell
Energy of formation from the pure elements ... -1.006 eV/atom

Cell: 5.5150 5.5150 5.5150 Å, 136.74 136.74 62.83°
Closest atoms and distances in Å follow each position.
Fractional positions:
Pt: 0.0000 0.0000 0.0000  4 Sc 2.87, 4 Pt 3.11, 4 Y 3.11
Pt: 0.2500 0.7500 0.5000  4 Y 2.87, 4 Pt 3.11, 4 Sc 3.11
Sc: 0.5000 0.5000 0.0000  8 Pt 2.87-3.11, 4 Y 3.11
Y: 0.7500 0.2500 0.5000  8 Pt 2.87-3.11, 4 Sc 3.11

---

Entry 10:
Below is an optimized crystal structure of YSc3Pt, with properties calculated at the PBE-GGA level.

Density of states at the Fermi level ... 1.608 states/eV per atom
SG ... Pm-3m, No. 221
E_tot ... -6.63 eV/atom
E above lowest polymorph ... 0 meV per atom
Spin magnetization ... 0.00 Bohr magnetons per cell
Energy of formation from the pure elements ... -0.335 eV/atom

Cell: 5.1418 5.1418 5.1418 Å, 90.00 90.00 90.00°
Closest atoms and distances in Å follow each position.
Fractional positions:
Y: 0.5000 0.5000 0.5000  12 Sc 3.64
Sc: 0.0000 0.5000 0.0000  2 Pt 2.57
Sc: 0.0000 0.0000 0.5000  2 Pt 2.57
Sc: 0.5000 0.0000 0.0000  2 Pt 2.57
Pt: 0.0000 0.0000 0.0000  6 Sc 2.57

---

Entry 11:
Below is an optimized crystal structure of YScPt2, with properties calculated at the PBE-GGA level.

Density of states at the Fermi level ... 0.647 states/eV per atom
SG ... I-42d, No. 122
E_tot ... -6.99 eV/atom
E above lowest polymorph ... 441 meV per atom
Spin magnetization ... 0.00 Bohr magnetons per cell
Energy of formation from the pure elements ... -0.773 eV/atom

Cell: 7.4745 7.4745 6.0875 Å, 52.13 52.13 90.00°
Closest atoms and distances in Å follow each position.
Fractional positions:
Y: 0.0000 0.0000 0.0000  4 Pt 2.86, 2 Sc 3.02
Y: 0.7500 0.2500 0.5000  4 Pt 2.86, 2 Sc 3.02
Sc: 0.5000 0.5000 0.0000  4 Pt 2.64
Sc: 0.2500 0.7500 0.5000  4 Pt 2.64
Pt: 0.6038 0.1250 0.2500  2 Sc 2.64, 2 Y 2.86
Pt: 0.1462 0.6250 0.2500  2 Sc 2.64, 2 Y 2.86
Pt: 0.3750 0.3962 0.7500  2 Sc 2.64, 2 Y 2.86
Pt: 0.8750 0.8538 0.7500  2 Sc 2.64, 2 Y 2.86

---

Entry 12:
Below is an optimized crystal structure of YScPt3, with properties calculated at the PBE-GGA level.

Density of states at the Fermi level ... 0.844 states/eV per atom
SG ... Pm-3m, No. 221
E_tot ... -5.85 eV/atom
E above lowest polymorph ... 670 meV per atom
Spin magnetization ... 0.00 Bohr magnetons per cell
Energy of formation from the pure elements ... 0.333 eV/atom

Cell: 5.0513 5.0513 5.0513 Å, 90.00 90.00 90.00°
Closest atoms and distances in Å follow each position.
Fractional positions:
Y: 0.0000 0.0000 0.0000  6 Pt 2.53
Sc: 0.5000 0.5000 0.5000  12 Pt 3.57
Pt: 0.0000 0.5000 0.0000  2 Y 2.53
Pt: 0.0000 0.0000 0.5000  2 Y 2.53
Pt: 0.5000 0.0000 0.0000  2 Y 2.53

---

Entry 13:
Below is an optimized crystal structure of YSc2Pt2, with properties calculated at the PBE-GGA level.

Density of states at the Fermi level ... 0.575 states/eV per atom
SG ... P4/mbm, No. 127
E_tot ... -7.15 eV/atom
E above lowest polymorph ... 95 meV per atom
Spin magnetization ... 0.56 Bohr magnetons per cell
Energy of formation from the pure elements ... -0.912 eV/atom

Cell: 8.1341 8.1341 2.9835 Å, 90.00 90.00 90.00°
Closest atoms and distances in Å follow each position.
Fractional positions:
Y: 0.0000 0.0000 0.0000  2 Y 2.98, 4 Sc 3.16
Y: 0.5000 0.5000 0.0000  2 Y 2.98, 4 Sc 3.16
Sc: 0.3635 0.8635 0.0000  6 Pt 2.76-2.85, 2 Sc 2.98
Sc: 0.8635 0.6365 0.0000  6 Pt 2.76-2.85, 2 Sc 2.98
Sc: 0.6365 0.1365 0.0000  6 Pt 2.76-2.85, 2 Sc 2.98
Sc: 0.1365 0.3635 0.0000  6 Pt 2.76-2.85, 2 Sc 2.98
Pt: 0.1613 0.6613 0.5000  6 Sc 2.76-2.85, 2 Pt 2.98
Pt: 0.6613 0.8387 0.5000  6 Sc 2.76-2.85, 2 Pt 2.98
Pt: 0.8387 0.3387 0.5000  6 Sc 2.76-2.85, 2 Pt 2.98
Pt: 0.3387 0.1613 0.5000  6 Sc 2.76-2.85, 2 Pt 2.98